# 1
The following is a DFT calculation (PBE) of a relaxed Li2Ho3In7 crystal.

## Properties
Final energy (eV per cell): -40.19
Spin magnetization (μB/atom): 0.0000
DFT formation energy (meV/atom): -288
Volume (Å³ per cell): 287.7

a = 14.877 Å, b = 14.877 Å, c = 4.264 Å
α = 90.00°, β = 90.00°, γ = 162.25°
Element x y z (fractional)
Li 0.138 0.862 0.000
Li 0.862 0.138 0.000
Ho 0.325 0.675 0.500
Ho 0.500 0.500 0.500
Ho 0.675 0.325 0.500
In 0.000 0.000 0.000
In 0.082 0.918 0.500
In 0.223 0.777 0.000
In 0.414 0.586 0.000
In 0.586 0.414 0.000
In 0.777 0.223 0.000
In 0.918 0.082 0.500



# 2
The following is a DFT calculation (PBE) of a relaxed LiGdZrOs crystal.

## Properties
Final energy (eV per cell): -36.55
Spin magnetization (μB/atom): 1.8092
DFT formation energy (meV/atom): -194
Volume (Å³ per cell): 78.1

a = 4.799 Å, b = 4.799 Å, c = 4.799 Å
α = 60.00°, β = 60.00°, γ = 60.00°
Element x y z (fractional)
Li 0.000 0.000 0.000
Gd 0.750 0.750 0.750
Zr 0.250 0.250 0.250
Os 0.500 0.500 0.500



# 3
The following is a DFT calculation (PBE) of a relaxed Sr2PaTl3S6 crystal.

## Properties
Final energy (eV per cell): -61.23
Spin magnetization (μB/atom): 0.0000
Raw formation energy (eV per atom): -1.3758
Volume (Å³ per cell): 348.3

a = 7.359 Å, b = 7.359 Å, c = 7.798 Å
α = 98.94°, β = 98.94°, γ = 119.83°
Element x y z (fractional)
Sr 0.166 0.834 0.000
Sr 0.834 0.166 0.000
Pa 0.500 0.500 0.000
Tl 0.000 0.000 0.500
Tl 0.334 0.666 0.500
Tl 0.666 0.334 0.500
S 0.134 0.432 0.798
S 0.271 0.271 0.211
S 0.432 0.134 0.798
S 0.568 0.866 0.202
S 0.729 0.729 0.789
S 0.866 0.568 0.202



# 4
The following is a DFT calculation (PBE) of a relaxed H3IrRh crystal.

## Properties
Final energy (eV per cell): -24.01
E above lowest polymorph (kJ/mol of atoms): 12.9
Spin magnetization (μB/atom): 0.0000
Volume (Å³ per cell): 39.4

a = 3.403 Å, b = 3.403 Å, c = 3.403 Å
α = 90.00°, β = 90.00°, γ = 90.00°
Element x y z (fractional)
H 0.000 0.000 0.500
H 0.000 0.500 0.000
H 0.500 0.000 0.000
Ir 0.500 0.500 0.500
Rh 0.000 0.000 0.000